No. 1
The following is a PBEsol calculation of a relaxed structure of Zr2Hg3, from the Alexandria database.

The structure belongs to space group Fdd2 (No. 43); the cell edges are 9.9937, 14.4589 and 5.8117 Å and the angles 90.00°, 90.00° and 90.00°. The distinct sites, in fractional coordinates, are Zr at (0.0589, 0.1956, 0.0000), Hg at (0.0000, 0.0000, 0.1118) and Hg at (0.0611, 0.1101, 0.5276).

As for the total magnetization: 0.000 μB per atom. The density is 12.406 g/cm³. Its calculated formation energy is -0.91 eV per formula unit.



No. 2
The following is a PBEsol calculation of a relaxed structure of Zr2Hg, from the Alexandria database.

The structure belongs to space group Pnma (No. 62); the cell edges are 5.8238, 4.7666 and 9.1432 Å and the angles 90.00°, 90.00° and 90.00°. The distinct sites, in fractional coordinates, are Zr at (0.0951, 0.2500, 0.2018), Zr at (0.1442, 0.2500, 0.5480) and Hg at (0.1673, 0.2500, 0.8709).

As for the total magnetization: 0.000 μB per atom. The density is 10.024 g/cm³. Its calculated formation energy is -0.55 eV per formula unit.



No. 3
The following is a PBEsol calculation of a relaxed structure of ZrHg, from the Alexandria database.

The structure belongs to space group Pmmn (No. 59, origin choice 2); the cell edges are 3.3344, 4.0418 and 6.2393 Å and the angles 90.00°, 90.00° and 90.00°. The distinct sites, in fractional coordinates, are Zr at (0.2500, 0.2500, 0.1344) and Hg at (0.2500, 0.2500, 0.6300).

As for the total magnetization: 0.000 μB per atom. The density is 11.525 g/cm³. Its calculated formation energy is -0.39 eV per formula unit.



No. 4
The following is a PBEsol calculation of a relaxed structure of Zr2Hg, from the Alexandria database.

The structure belongs to space group I4_1/amd (No. 141, origin choice 2); the cell edges are 4.2983, 4.2983 and 27.2455 Å and the angles 90.00°, 90.00° and 90.00°. The distinct sites, in fractional coordinates, are Zr at (0.0000, 0.2500, 0.1195), Zr at (0.0000, 0.2500, 0.7896) and Hg at (0.0000, 0.2500, 0.2929).

As for the total magnetization: 0.000 μB per atom. The density is 10.109 g/cm³. Its calculated formation energy is -0.55 eV per formula unit.



No. 5
The following is a PBEsol calculation of a relaxed structure of ZrHg, from the Alexandria database.

The structure belongs to space group I4_1/amd (No. 141, origin choice 2); the cell edges are 4.1953, 4.1953 and 9.4207 Å and the angles 90.00°, 90.00° and 90.00°. The distinct sites, in fractional coordinates, are Zr at (0.0000, 0.2500, 0.3750) and Hg at (0.0000, 0.2500, 0.8750).

As for the total magnetization: 0.000 μB per atom. The density is 11.690 g/cm³. Its calculated formation energy is -0.37 eV per formula unit.



No. 6
The following is a PBEsol calculation of a relaxed structure of ZrHg3, from the Alexandria database.

The structure belongs to space group P6_3/mmc (No. 194); the cell edges are 6.3020, 6.3020 and 4.7877 Å and the angles 90.00°, 90.00° and 120.00°. The distinct sites, in fractional coordinates, are Zr at (0.3333, 0.6667, 0.2500) and Hg at (0.1686, 0.3371, 0.7500).

As for the total magnetization: 0.000 μB per atom. The density is 13.976 g/cm³. Its calculated formation energy is -0.74 eV per formula unit.



No. 7
The following is a PBEsol calculation of a relaxed structure of ZrHg3, from the Alexandria database.

The structure belongs to space group I4/mmm (No. 139); the cell edges are 4.4395, 4.4395 and 16.8298 Å and the angles 90.00°, 90.00° and 90.00°. The distinct sites, in fractional coordinates, are Zr at (0.0000, 0.0000, 0.1245), Hg at (0.0000, 0.0000, 0.3705), Hg at (0.0000, 0.5000, 0.0000) and Hg at (0.0000, 0.5000, 0.2500).

As for the total magnetization: 0.000 μB per atom. The density is 13.877 g/cm³. Its calculated formation energy is -0.61 eV per formula unit.



No. 8
The following is a PBEsol calculation of a relaxed structure of Zr5Hg3, from the Alexandria database.

The structure belongs to space group Cmmm (No. 65); the cell edges are 8.4330, 8.8716 and 4.4647 Å and the angles 90.00°, 90.00° and 90.00°. The distinct sites, in fractional coordinates, are Zr at (0.0000, 0.0000, 0.0000), Zr at (0.2449, 0.5000, 0.5000), Zr at (0.2500, 0.2500, 0.0000), Hg at (0.0000, 0.2428, 0.5000) and Hg at (0.0000, 0.5000, 0.0000).

As for the total magnetization: 0.000 μB per atom. The density is 10.518 g/cm³. Its calculated formation energy is -1.69 eV per formula unit.



No. 9
The following is a PBEsol calculation of a relaxed structure of Zr5Hg, from the Alexandria database.

The structure belongs to space group Cm (No. 8); the cell edges are 11.4515, 3.1331 and 7.5449 Å and the angles 90.00°, 105.77° and 90.00°. The distinct sites, in fractional coordinates, are Zr at (0.0000, 0.0000, 0.0000), Zr at (0.0298, 0.0000, 0.6192), Zr at (0.1606, 0.5000, 0.3477), Zr at (0.2196, 0.5000, 0.9478), Zr at (0.3844, 0.0000, 0.2790) and Hg at (0.3138, 0.0000, 0.6679).

As for the total magnetization: 0.000 μB per atom. The density is 8.372 g/cm³. Its calculated formation energy is -0.48 eV per formula unit.



No. 10
The following is a PBEsol calculation of a relaxed structure of Zr3Hg, from the Alexandria database.

The structure belongs to space group Pm-3n (No. 223); the cell edges are 5.5162, 5.5162 and 5.5162 Å and the angles 90.00°, 90.00° and 90.00°. The distinct sites, in fractional coordinates, are Zr at (0.0000, 0.2500, 0.5000) and Hg at (0.0000, 0.0000, 0.0000).

As for the total magnetization: 0.000 μB per atom. The density is 9.384 g/cm³. Its calculated formation energy is -1.04 eV per formula unit.



No. 11
The following is a PBEsol calculation of a relaxed structure of ZrHg, from the Alexandria database.

The structure belongs to space group Imma (No. 74); the cell edges are 3.2301, 5.1264 and 10.1259 Å and the angles 90.00°, 90.00° and 90.00°. The distinct sites, in fractional coordinates, are Zr at (0.0000, 0.2500, 0.1230) and Hg at (0.0000, 0.2500, 0.6308).

As for the total magnetization: 0.000 μB per atom. The density is 11.560 g/cm³. Its calculated formation energy is -0.42 eV per formula unit.



No. 12
The following is a PBEsol calculation of a relaxed structure of Zr5Hg, from the Alexandria database.

The structure belongs to space group P4/mmm (No. 123); the cell edges are 3.1419, 3.1419 and 13.1798 Å and the angles 90.00°, 90.00° and 90.00°. The distinct sites, in fractional coordinates, are Zr at (0.0000, 0.0000, 0.0000), Zr at (0.0000, 0.0000, 0.3383), Zr at (0.5000, 0.5000, 0.1679) and Hg at (0.5000, 0.5000, 0.5000).

As for the total magnetization: 0.000 μB per atom. The density is 8.382 g/cm³. Its calculated formation energy is -0.59 eV per formula unit.



No. 13
The following is a PBEsol calculation of a relaxed structure of Zr3Hg5, from the Alexandria database.

The structure belongs to space group Cmmm (No. 65); the cell edges are 8.5716, 8.9015 and 4.3439 Å and the angles 90.00°, 90.00° and 90.00°. The distinct sites, in fractional coordinates, are Zr at (0.0000, 0.0000, 0.0000), Zr at (0.0000, 0.2605, 0.5000), Hg at (0.0000, 0.5000, 0.0000), Hg at (0.2389, 0.0000, 0.5000) and Hg at (0.2500, 0.2500, 0.0000).

As for the total magnetization: 0.000 μB per atom. The density is 12.792 g/cm³. Its calculated formation energy is -1.75 eV per formula unit.



No. 14
The following is a PBEsol calculation of a relaxed structure of ZrHg8, from the Alexandria database.

The structure belongs to space group I4/mmm (No. 139); the cell edges are 9.4294, 9.4294 and 4.3688 Å and the angles 90.00°, 90.00° and 90.00°. The distinct sites, in fractional coordinates, are Zr at (0.0000, 0.0000, 0.0000), Hg at (0.0000, 0.3319, 0.0000) and Hg at (0.1652, 0.1652, 0.5000).

As for the total magnetization: 0.000 μB per atom. The density is 14.500 g/cm³. Its calculated formation energy is -0.38 eV per formula unit.



No. 15
The following is a PBEsol calculation of a relaxed structure of Zr4Hg5, from the Alexandria database.

The structure belongs to space group P6_3/mcm (No. 193); the cell edges are 8.5785, 8.5785 and 5.8896 Å and the angles 90.00°, 90.00° and 120.00°. The distinct sites, in fractional coordinates, are Zr at (0.0000, 0.0000, 0.0000), Zr at (0.0000, 0.3501, 0.2500), Hg at (0.0000, 0.3166, 0.7500) and Hg at (0.3333, 0.6667, 0.0000).

As for the total magnetization: 0.000 μB per atom. The density is 12.103 g/cm³. Its calculated formation energy is -2.06 eV per formula unit.



No. 16
The following is a PBEsol calculation of a relaxed structure of Zr2Hg, from the Alexandria database.

The structure belongs to space group P-3m1 (No. 164); the cell edges are 3.2713, 3.2713 and 7.1971 Å and the angles 90.00°, 90.00° and 120.00°. The distinct sites, in fractional coordinates, are Zr at (0.3333, 0.6667, 0.1654) and Hg at (0.0000, 0.0000, 0.5000).

As for the total magnetization: 0.000 μB per atom. The density is 9.536 g/cm³. Its calculated formation energy is -0.41 eV per formula unit.



No. 17
The following is a PBEsol calculation of a relaxed structure of Zr3Hg, from the Alexandria database.

The structure belongs to space group P6_3/mmc (No. 194); the cell edges are 6.1668, 6.1668 and 5.1277 Å and the angles 90.00°, 90.00° and 120.00°. The distinct sites, in fractional coordinates, are Zr at (0.1690, 0.3381, 0.2500) and Hg at (0.3333, 0.6667, 0.7500).

As for the total magnetization: 0.000 μB per atom. The density is 9.327 g/cm³. Its calculated formation energy is -0.58 eV per formula unit.



No. 18
The following is a PBEsol calculation of a relaxed structure of Zr5Hg3, from the Alexandria database.

The structure belongs to space group P6_3/mcm (No. 193); the cell edges are 8.5417, 8.5417 and 5.3774 Å and the angles 90.00°, 90.00° and 120.00°. The distinct sites, in fractional coordinates, are Zr at (0.0000, 0.2341, 0.2500), Zr at (0.3333, 0.6667, 0.0000) and Hg at (0.0000, 0.3979, 0.7500).

As for the total magnetization: 0.000 μB per atom. The density is 10.340 g/cm³. Its calculated formation energy is -1.65 eV per formula unit.



No. 19
The following is a PBEsol calculation of a relaxed structure of ZrHg, from the Alexandria database.

The structure belongs to space group Cm (No. 8); the cell edges are 11.1922, 3.2720 and 7.2404 Å and the angles 90.00°, 108.76° and 90.00°. The distinct sites, in fractional coordinates, are Zr at (0.0000, 0.0000, 0.0000), Zr at (0.0123, 0.0000, 0.5424), Zr at (0.3466, 0.0000, 0.2049), Hg at (0.1555, 0.5000, 0.3334), Hg at (0.1901, 0.5000, 0.8700) and Hg at (0.3286, 0.0000, 0.6609).

As for the total magnetization: 0.000 μB per atom. The density is 11.580 g/cm³. Its calculated formation energy is -0.42 eV per formula unit.



No. 20
The following is a PBEsol calculation of a relaxed structure of Zr2Hg, from the Alexandria database.

The structure belongs to space group P-3m1 (No. 164); the cell edges are 5.0026, 5.0026 and 2.9150 Å and the angles 90.00°, 90.00° and 120.00°. The distinct sites, in fractional coordinates, are Zr at (0.3333, 0.6667, 0.2102) and Hg at (0.0000, 0.0000, 0.5000).

As for the total magnetization: 0.001 μB per atom. The density is 10.067 g/cm³. Its calculated formation energy is 0.12 eV per formula unit.



No. 21
The following is a PBEsol calculation of a relaxed structure of Zr2Hg, from the Alexandria database.

The structure belongs to space group P4/mmm (No. 123); the cell edges are 4.3234, 4.3234 and 3.9048 Å and the angles 90.00°, 90.00° and 90.00°. The distinct sites, in fractional coordinates, are Zr at (0.0000, 0.5000, 0.0000) and Hg at (0.0000, 0.0000, 0.5000).

As for the total magnetization: 0.000 μB per atom. The density is 8.714 g/cm³. Its calculated formation energy is 0.91 eV per formula unit.



No. 22
The following is a PBEsol calculation of a relaxed structure of ZrHg3, from the Alexandria database.

The structure belongs to space group P4/mmm (No. 123); the cell edges are 3.2236, 3.2236 and 8.0356 Å and the angles 90.00°, 90.00° and 90.00°. The distinct sites, in fractional coordinates, are Zr at (0.0000, 0.0000, 0.0000), Hg at (0.0000, 0.0000, 0.5000) and Hg at (0.5000, 0.5000, 0.2460).

As for the total magnetization: 0.000 μB per atom. The density is 13.781 g/cm³. Its calculated formation energy is -0.52 eV per formula unit.



No. 23
The following is a PBEsol calculation of a relaxed structure of ZrHg, from the Alexandria database.

The structure belongs to space group Cmcm (No. 63); the cell edges are 3.3052, 11.6501 and 4.4206 Å and the angles 90.00°, 90.00° and 90.00°. The distinct sites, in fractional coordinates, are Zr at (0.0000, 0.1725, 0.2500) and Hg at (0.0000, 0.4252, 0.2500).

As for the total magnetization: 0.000 μB per atom. The density is 11.387 g/cm³. Its calculated formation energy is -0.43 eV per formula unit.



No. 24
The following is a PBEsol calculation of a relaxed structure of Zr8Hg, from the Alexandria database.

The structure belongs to space group I4/mmm (No. 139); the cell edges are 9.6284, 9.6284 and 4.2163 Å and the angles 90.00°, 90.00° and 90.00°. The distinct sites, in fractional coordinates, are Zr at (0.0000, 0.3332, 0.0000), Zr at (0.1669, 0.1669, 0.5000) and Hg at (0.0000, 0.0000, 0.0000).

As for the total magnetization: 0.000 μB per atom. The density is 7.905 g/cm³. Its calculated formation energy is -0.56 eV per formula unit.



No. 25
The following is a PBEsol calculation of a relaxed structure of Zr4Hg5, from the Alexandria database.

The structure belongs to space group I4/mmm (No. 139); the cell edges are 9.5469, 9.5469 and 4.1586 Å and the angles 90.00°, 90.00° and 90.00°. The distinct sites, in fractional coordinates, are Zr at (0.0000, 0.3287, 0.0000), Hg at (0.0000, 0.0000, 0.0000) and Hg at (0.1702, 0.1702, 0.5000).

As for the total magnetization: 0.000 μB per atom. The density is 11.985 g/cm³. Its calculated formation energy is -1.86 eV per formula unit.